Below is an optimized crystal structure of Tb6InP2S3, with properties calculated at the GGA-PBE level.

Properties
The crystal system is monoclinic. The value obtained for the density of states at the Fermi level is 0.339 states/eV/atom. The calculated volume is 563 Å³/cell. The value obtained for the raw formation energy is -19.0 eV/f.u.

Cell and atoms, written as CIF:
```
data_Tb6InP2S3
_chemical_formula_sum 'Tb12 In2 P4 S6'
_cell_length_a 17.660
_cell_length_b 3.995
_cell_length_c 8.195
_cell_angle_alpha 90.00
_cell_angle_beta 103.21
_cell_angle_gamma 90.00
_space_group_name_H-M_alt 'C 1 2/m 1'
_space_group_IT_number 12
loop_
_space_group_symop_operation_xyz
'x,y,z'
'-x,-y,-z'
'-x,y,-z'
'x,-y,z'
'x+1/2,y+1/2,z'
'-x+1/2,-y+1/2,-z'
'-x+1/2,y+1/2,-z'
'x+1/2,-y+1/2,z'
loop_
_atom_site_label
_atom_site_type_symbol
_atom_site_fract_x
_atom_site_fract_y
_atom_site_fract_z
Tb1 Tb 0.002 0.000 0.271
Tb2 Tb 0.170 0.500 0.578
Tb3 Tb 0.173 0.500 0.094
In1 In 0.000 0.500 0.000
P1 P 0.168 0.000 0.335
S1 S 0.000 0.500 0.500
S2 S 0.167 0.000 0.831
```